Entry from Alexandria: MnCdN2O after structural relaxation (GGA+U).

Volume, Å³/atom: 11.77
Spin magnetization, μB per cell: 1.01
E_tot, eV per atom: -5.45

```
MnCdN2O
1.0
3.8497 0.0000 0.0000
0.0000 3.8497 0.0000
0.0000 0.0000 3.9704
Mn Cd N O
1 1 2 1
Cartesian
0.0000 0.0000 0.0000 Mn
1.9249 1.9249 1.9852 Cd
0.0000 1.9249 0.0000 N
1.9249 0.0000 0.0000 N
0.0000 0.0000 1.9852 O
```